No. 1
## Ba2GeSBr (PBE)

Data for a relaxed structure of Ba2GeSBr.

Properties
- D(E_F) (states/eV per atom) = 0.6256
- ρ (g/cm3) = 4.0
- total energy (eV/cell) = -16.91
- crystal system = tetragonal
- space group = P4/mmm (123)

a = 6.216 Å, b = 6.216 Å, c = 4.989 Å
α = 90.00°, β = 90.00°, γ = 90.00°
Fractional coordinates of all 5 atoms:
Ba 0.000 0.500 0.000
Ba 0.500 0.000 0.000
Ge 0.000 0.000 0.500
S 0.500 0.500 0.500
Br 0.000 0.000 0.000

No. 2
## Ba6GeS2Br3 (PBE)

Data for a relaxed structure of Ba6GeS2Br3.

Properties
- D(E_F) (states/eV per atom) = 0.3262
- ρ (g/cm3) = 4.4
- total energy (eV/cell) = -49.47
- crystal system = monoclinic
- space group = C2/m (12)

a = 8.107 Å, b = 8.107 Å, c = 8.356 Å
α = 99.29°, β = 99.29°, γ = 120.01°
Fractional coordinates of all 12 atoms:
Ba 0.092 0.427 0.782
Ba 0.238 0.238 0.219
Ba 0.427 0.092 0.782
Ba 0.573 0.908 0.218
Ba 0.762 0.762 0.781
Ba 0.908 0.573 0.218
Ge 0.500 0.500 0.000
S 0.167 0.833 0.000
S 0.833 0.167 0.000
Br 0.000 0.000 0.500
Br 0.334 0.666 0.500
Br 0.666 0.334 0.500

No. 3
## Ba4GeSBr2 (PBE)

Data for a relaxed structure of Ba4GeSBr2.

Properties
- D(E_F) (states/eV per atom) = 0.1560
- ρ (g/cm3) = 4.3
- total energy (eV/cell) = -32.13
- crystal system = monoclinic
- space group = P2/m (10)

a = 8.188 Å, b = 4.767 Å, c = 8.462 Å
α = 90.00°, β = 109.18°, γ = 90.00°
Fractional coordinates of all 8 atoms:
Ba 0.239 0.000 0.221
Ba 0.259 0.500 0.787
Ba 0.741 0.500 0.213
Ba 0.761 0.000 0.779
Ge 0.000 0.500 0.000
S 0.500 0.000 0.000
Br 0.000 0.000 0.500
Br 0.500 0.500 0.500

No. 4
## Ba4SnGe2S8Br2 (PBE)

Data for a relaxed structure of Ba4SnGe2S8Br2.

Properties
- D(E_F) (states/eV per atom) = 0.0000
- ρ (g/cm3) = 4.0
- total energy (eV/cell) = -160.94
- crystal system = orthorhombic
- space group = Pmn2_1 (31)

a = 9.253 Å, b = 12.124 Å, c = 9.090 Å
α = 90.00°, β = 90.00°, γ = 90.00°
Fractional coordinates of all 34 atoms:
Ba 0.243 0.081 0.000
Ba 0.244 0.574 0.713
Ba 0.256 0.426 0.213
Ba 0.257 0.919 0.500
Ba 0.743 0.919 0.500
Ba 0.744 0.426 0.213
Ba 0.756 0.574 0.713
Ba 0.757 0.081 0.000
Sn 0.000 0.730 0.136
Sn 0.500 0.270 0.636
Ge 0.000 0.341 0.914
Ge 0.000 0.850 0.809
Ge 0.500 0.150 0.309
Ge 0.500 0.659 0.414
S 0.000 0.027 0.745
S 0.000 0.248 0.128
S 0.000 0.528 0.976
S 0.000 0.752 0.603
S 0.194 0.807 0.944
S 0.217 0.315 0.819
S 0.283 0.685 0.319
S 0.306 0.193 0.444
S 0.500 0.248 0.103
S 0.500 0.472 0.476
S 0.500 0.752 0.628
S 0.500 0.973 0.245
S 0.694 0.193 0.444
S 0.717 0.685 0.319
S 0.783 0.315 0.819
S 0.806 0.807 0.944
Br 0.000 0.458 0.473
Br 0.000 0.972 0.254
Br 0.500 0.028 0.754
Br 0.500 0.542 0.973

No. 5
## Ba2GeSeBr (PBE)

Data for a relaxed structure of Ba2GeSeBr.

Properties
- D(E_F) (states/eV per atom) = 0.4037
- ρ (g/cm3) = 4.1
- total energy (eV/cell) = -17.46
- crystal system = tetragonal
- space group = P4/mmm (123)

a = 6.290 Å, b = 6.290 Å, c = 5.135 Å
α = 90.00°, β = 90.00°, γ = 90.00°
Fractional coordinates of all 5 atoms:
Ba 0.000 0.500 0.000
Ba 0.500 0.000 0.000
Ge 0.000 0.000 0.000
Se 0.500 0.500 0.500
Br 0.000 0.000 0.500

No. 6
## Ba6Ge2SeBr3 (PBE)

Data for a relaxed structure of Ba6Ge2SeBr3.

Properties
- D(E_F) (states/eV per atom) = 0.8214
- ρ (g/cm3) = 4.4
- total energy (eV/cell) = -45.91
- crystal system = monoclinic
- space group = C2/m (12)

a = 10.974 Å, b = 10.974 Å, c = 9.978 Å
α = 103.57°, β = 103.57°, γ = 24.50°
Fractional coordinates of all 12 atoms:
Ba 0.010 0.010 0.239
Ba 0.326 0.326 0.430
Ba 0.337 0.337 0.905
Ba 0.663 0.663 0.095
Ba 0.674 0.674 0.570
Ba 0.990 0.990 0.761
Ge 0.164 0.164 0.326
Ge 0.836 0.836 0.674
Se 0.500 0.500 0.000
Br 0.162 0.162 0.832
Br 0.500 0.500 0.500
Br 0.838 0.838 0.168

No. 7
## Ba6GeSe2Br3 (PBE)

Data for a relaxed structure of Ba6GeSe2Br3.

Properties
- D(E_F) (states/eV per atom) = 0.3241
- ρ (g/cm3) = 4.6
- total energy (eV/cell) = -48.08
- crystal system = monoclinic
- space group = C2/m (12)

a = 8.277 Å, b = 8.277 Å, c = 8.348 Å
α = 99.49°, β = 99.49°, γ = 120.00°
Fractional coordinates of all 12 atoms:
Ba 0.075 0.401 0.224
Ba 0.252 0.252 0.775
Ba 0.401 0.075 0.224
Ba 0.599 0.925 0.776
Ba 0.748 0.748 0.225
Ba 0.925 0.599 0.776
Ge 0.000 0.000 0.000
Se 0.334 0.666 0.000
Se 0.666 0.334 0.000
Br 0.168 0.832 0.500
Br 0.500 0.500 0.500
Br 0.832 0.168 0.500

No. 8
## Ba8GeSe3Br4 (PBE)

Data for a relaxed structure of Ba8GeSe3Br4.

Properties
- D(E_F) (states/eV per atom) = 0.4062
- ρ (g/cm3) = 4.7
- total energy (eV/cell) = -64.40
- crystal system = trigonal
- space group = R-3m (166)

a = 9.571 Å, b = 9.571 Å, c = 9.571 Å
α = 59.68°, β = 59.68°, γ = 59.68°
Fractional coordinates of all 16 atoms:
Ba 0.242 0.242 0.242
Ba 0.249 0.739 0.739
Ba 0.261 0.261 0.751
Ba 0.261 0.751 0.261
Ba 0.739 0.249 0.739
Ba 0.739 0.739 0.249
Ba 0.751 0.261 0.261
Ba 0.758 0.758 0.758
Ge 0.500 0.500 0.500
Se 0.000 0.000 0.500
Se 0.000 0.500 0.000
Se 0.500 0.000 0.000
Br 0.000 0.000 0.000
Br 0.000 0.500 0.500
Br 0.500 0.000 0.500
Br 0.500 0.500 0.000